A geometry-optimized Zn3PPt structure, computed with PBEsol.

Structure (POSCAR):
```
Zn3PPt
1.0
4.695 0.000 0.000
0.000 4.695 0.000
0.000 0.000 4.695
Zn P Pt
3 1 1
direct
0.000 0.000 0.500
0.000 0.500 0.000
0.500 0.000 0.000
0.500 0.500 0.500
0.000 0.000 0.000
```

Calculated values
Space-group type: Pm-3m (221)
ΔH_f (0 K) (eV/atom): 0.497
Mass density (g cm⁻³): 6.78
Density of states at the Fermi level (states/eV/f.u.): 2.40